## Na6PdAu2 (PBE)

Data for crystalline Na6PdAu2 at its relaxed geometry.

Lattice parameters (Å, degrees): 10.533 10.533 10.533 27.66 27.66 27.66
Positions (direct):
Na1 0.085 0.085 0.085
Na2 0.196 0.196 0.196
Na3 0.309 0.309 0.309
Na4 0.691 0.691 0.691
Na5 0.804 0.804 0.804
Na6 0.915 0.915 0.915
Pd1 0.500 0.500 0.500
Au1 0.410 0.410 0.410
Au2 0.590 0.590 0.590

Results
ρ = 4.77 g/cm3
calculated total energy = -2.384 eV per atom
D(E_F) = 3.0 states/eV/f.u.
total magnetic moment = 0.00 μB per formula unit
energy relative to the elements = -1.8 eV per formula unit